Entry from Alexandria via LeMat-Bulk: an optimized crystal structure of Hf2Mn2Br (PBE).

a = 7.599 Å, b = 7.599 Å, c = 3.166 Å
α = 90.00°, β = 90.00°, γ = 90.00°
Atoms (fractional coordinates):
Hf  0.311  0.811  0.000
Mn  0.593  0.907  0.500
Mn  0.407  0.093  0.500
Mn  0.907  0.407  0.500
Hf  0.811  0.689  0.000
Br  0.000  0.000  0.000
Hf  0.689  0.189  0.000
Br  0.500  0.500  0.000
Mn  0.093  0.593  0.500
Hf  0.189  0.311  0.000

Summary:
formation energy without anion corrections: 265.8 meV per atom
energy: -77.2 eV for the cell shown
space group: P4/mbm, No. 127
ΔE to the lowest computed polymorph: 0.109 eV per atom